[1]
First-principles (PBE-GGA) data for crystalline LaPrGe2 at its relaxed geometry, as listed in the Alexandria database.

Cell: 4.3845 4.3845 7.5587 Å, 73.14 73.14 60.00°
Element x y z (fractional)
Pr 0.5000 0.5000 0.5000
Ge 0.7522 0.7522 0.7433
Ge 0.2478 0.2478 0.2567
La 0.0000 0.0000 0.0000

## Properties
uncorrected energy = -21.5 eV for the cell shown
crystal system = trigonal
size of the total moment = 0.0 μB/f.u.
SG = R-3m

[2]
First-principles (PBE-GGA) data for crystalline La3Pr3Ge4 at its relaxed geometry, as listed in the Alexandria database.

Cell: 4.4515 7.9928 7.9928 Å, 90.73 90.00 90.00°
Element x y z (fractional)
La 0.5000 0.8273 0.1727
La 0.5000 0.3260 0.3268
La 0.5000 0.6732 0.6740
Pr 0.0000 0.4996 0.0000
Pr 0.0000 0.0000 0.5004
Pr 0.5000 0.1731 0.8269
Ge 0.0000 0.6196 0.3804
Ge 0.0000 0.3787 0.6213
Ge 0.0000 0.8835 0.8809
Ge 0.0000 0.1191 0.1165

## Properties
uncorrected energy = -55.0 eV for the cell shown
crystal system = orthorhombic
size of the total moment = 0.0 μB/f.u.
SG = Amm2

[3]
First-principles (PBE-GGA) data for crystalline LaPr2Ge6 at its relaxed geometry, as listed in the Alexandria database.

Cell: 4.1720 7.7002 7.7002 Å, 120.00 90.00 90.00°
Element x y z (fractional)
La 0.0000 0.0000 0.0000
Pr 0.0000 0.3333 0.6667
Pr 0.0000 0.6667 0.3333
Ge 0.5000 0.3346 0.3346
Ge 0.5000 0.6654 0.6654
Ge 0.5000 0.0000 0.6654
Ge 0.5000 0.6654 0.0000
Ge 0.5000 0.3346 0.0000
Ge 0.5000 0.0000 0.3346

## Properties
uncorrected energy = -47.7 eV for the cell shown
crystal system = hexagonal
size of the total moment = 0.0 μB/f.u.
SG = P6/mmm

[4]
First-principles (PBE-GGA) data for crystalline La4PrGe2 at its relaxed geometry, as listed in the Alexandria database.

Cell: 6.5575 8.4028 8.3556 Å, 111.11 90.00 90.00°
Element x y z (fractional)
Pr 0.2500 0.8559 0.9896
Pr 0.7500 0.1441 0.0104
Ge 0.2500 0.2438 0.9921
Ge 0.7500 0.7562 0.0079
Ge 0.7500 0.3653 0.3998
Ge 0.2500 0.6347 0.6002
La 0.5101 0.4129 0.7604
La 0.2500 0.2360 0.3517
La 0.7500 0.7640 0.6483
La 0.9899 0.4129 0.7604
La 0.7500 0.0062 0.3948
La 0.0101 0.5871 0.2396
La 0.4899 0.5871 0.2396
La 0.2500 0.9938 0.6052

## Properties
uncorrected energy = -74.3 eV for the cell shown
crystal system = monoclinic
size of the total moment = 0.0 μB/f.u.
SG = P2_1/m

[5]
First-principles (PBE-GGA) data for crystalline LaPr5Ge4 at its relaxed geometry, as listed in the Alexandria database.

Cell: 5.2465 7.1357 11.0218 Å, 130.61 103.77 90.00°
Element x y z (fractional)
La 0.5000 0.0000 0.0000
Pr 0.8355 0.6773 0.6710
Pr 0.8348 0.1576 0.6696
Pr 0.1652 0.8424 0.3304
Pr 0.5000 0.5000 0.0000
Pr 0.1645 0.3227 0.3290
Ge 0.3212 0.8923 0.6424
Ge 0.9901 0.7266 0.9803
Ge 0.6788 0.1077 0.3576
Ge 0.0099 0.2734 0.0197

## Properties
uncorrected energy = -53.5 eV for the cell shown
crystal system = monoclinic
size of the total moment = 0.0 μB/f.u.
SG = C2/m

[6]
First-principles (PBE-GGA) data for crystalline LaPrGe2 at its relaxed geometry, as listed in the Alexandria database.

Cell: 3.9858 3.9858 6.5219 Å, 90.00 90.00 90.00°
Element x y z (fractional)
Pr 0.5000 0.5000 0.0000
Ge 0.0000 0.0000 0.7861
Ge 0.0000 0.0000 0.2139
La 0.5000 0.5000 0.5000

## Properties
uncorrected energy = -21.5 eV for the cell shown
crystal system = tetragonal
size of the total moment = 0.0 μB/f.u.
SG = P4/mmm

[7]
First-principles (PBE-GGA) data for crystalline LaPrGe2 at its relaxed geometry, as listed in the Alexandria database.

Cell: 4.5746 4.1212 6.0838 Å, 90.00 112.07 90.00°
Element x y z (fractional)
La 0.7215 0.0000 0.9824
Pr 0.4459 0.5000 0.4304
Ge 0.1610 0.5000 0.8609
Ge 0.0026 0.0000 0.5442

## Properties
uncorrected energy = -22.3 eV for the cell shown
crystal system = orthorhombic
size of the total moment = 0.0 μB/f.u.
SG = Amm2

[8]
First-principles (PBE-GGA) data for crystalline La2PrGe at its relaxed geometry, as listed in the Alexandria database.

Cell: 5.5189 5.5189 5.5181 Å, 59.99 59.99 60.00°
Element x y z (fractional)
Pr 0.0000 0.0000 0.0000
Ge 0.5000 0.5000 0.5000
La 0.2500 0.2500 0.2501
La 0.7500 0.7500 0.7499

## Properties
uncorrected energy = -19.8 eV for the cell shown
crystal system = cubic
size of the total moment = 0.0 μB/f.u.
polymorph energy (0 for the lowest one) = 0.326 eV per atom
SG = Fm-3m

[9]
First-principles (PBE-GGA) data for crystalline LaPr4Ge4 at its relaxed geometry, as listed in the Alexandria database.

Cell: 6.1057 9.4325 9.4325 Å, 90.00 90.00 90.00°
Element x y z (fractional)
La 0.0000 0.0000 0.0000
La 0.5000 0.5000 0.5000
Pr 0.3803 0.3090 0.9150
Pr 0.8803 0.5850 0.8090
Pr 0.3803 0.6910 0.0850
Pr 0.1197 0.1910 0.5850
Pr 0.6197 0.9150 0.6910
Pr 0.1197 0.8090 0.4150
Pr 0.8803 0.4150 0.1910
Pr 0.6197 0.0850 0.3090
Ge 0.6281 0.7745 0.3713
Ge 0.6281 0.2255 0.6287
Ge 0.1281 0.8713 0.7255
Ge 0.8719 0.2745 0.8713
Ge 0.8719 0.7255 0.1287
Ge 0.3719 0.3713 0.2255
Ge 0.3719 0.6287 0.7745
Ge 0.1281 0.1287 0.2745

## Properties
uncorrected energy = -95.0 eV for the cell shown
crystal system = tetragonal
size of the total moment = 0.0 μB/f.u.
SG = P4_2/n

[10]
First-principles (PBE-GGA) data for crystalline La3PrGe2 at its relaxed geometry, as listed in the Alexandria database.

Cell: 4.5424 10.2221 9.7572 Å, 124.28 90.00 102.84°
Element x y z (fractional)
La 0.3109 0.6218 0.5089
La 0.9505 0.9009 0.5999
La 0.6540 0.3079 0.8367
La 0.3460 0.6921 0.1633
La 0.0495 0.0991 0.4001
La 0.6891 0.3782 0.4911
Pr 0.8849 0.7698 0.8995
Pr 0.1151 0.2302 0.1005
Ge 0.4940 0.9881 0.8577
Ge 0.5060 0.0119 0.1423
Ge 0.7591 0.5182 0.2399
Ge 0.2409 0.4818 0.7601

## Properties
uncorrected energy = -64.6 eV for the cell shown
crystal system = monoclinic
size of the total moment = 0.0 μB/f.u.
polymorph energy (0 for the lowest one) = 0.023 eV per atom
SG = C2/m

[11]
First-principles (PBE-GGA) data for crystalline La2PrGe at its relaxed geometry, as listed in the Alexandria database.

Cell: 4.0276 4.0276 7.6440 Å, 90.00 90.00 90.00°
Element x y z (fractional)
Pr 0.5000 0.5000 0.5000
Ge 0.5000 0.5000 0.0000
La 0.0000 0.0000 0.8030
La 0.0000 0.0000 0.1970

## Properties
uncorrected energy = -20.7 eV for the cell shown
crystal system = tetragonal
size of the total moment = 0.2 μB/f.u.
polymorph energy (0 for the lowest one) = 0.114 eV per atom
SG = P4/mmm

[12]
First-principles (PBE-GGA) data for crystalline LaPrGe2 at its relaxed geometry, as listed in the Alexandria database.

Cell: 4.2192 4.9316 4.9316 Å, 90.00 90.00 90.00°
Element x y z (fractional)
Pr 0.5000 0.0000 0.0000
Ge 0.0000 0.0000 0.5000
Ge 0.0000 0.5000 0.0000
La 0.5000 0.5000 0.5000

## Properties
uncorrected energy = -21.5 eV for the cell shown
crystal system = tetragonal
size of the total moment = 0.0 μB/f.u.
SG = P4/mmm

[13]
First-principles (PBE-GGA) data for crystalline La3Pr2Ge2 at its relaxed geometry, as listed in the Alexandria database.

Cell: 4.3529 6.5539 8.7466 Å, 109.50 90.00 109.40°
Element x y z (fractional)
La 0.5000 0.0000 0.0000
La 0.6327 0.2654 0.4452
La 0.3673 0.7346 0.5548
Pr 0.8483 0.6966 0.1885
Pr 0.1517 0.3034 0.8115
Ge 0.8255 0.6511 0.7996
Ge 0.1745 0.3489 0.2004

## Properties
uncorrected energy = -37.2 eV for the cell shown
crystal system = monoclinic
size of the total moment = 0.0 μB/f.u.
SG = C2/m

[14]
First-principles (PBE-GGA) data for crystalline LaPrGe2 at its relaxed geometry, as listed in the Alexandria database.

Cell: 4.1309 6.0806 8.4395 Å, 90.00 90.00 90.00°
Element x y z (fractional)
La 0.0000 0.1331 0.6812
La 0.0000 0.8669 0.1812
Pr 0.5000 0.3675 0.3181
Pr 0.5000 0.6325 0.8181
Ge 0.0000 0.6130 0.5375
Ge 0.0000 0.3870 0.0375
Ge 0.5000 0.8813 0.4631
Ge 0.5000 0.1187 0.9631

## Properties
uncorrected energy = -44.6 eV for the cell shown
crystal system = orthorhombic
size of the total moment = 0.0 μB/f.u.
SG = Pmc2_1

[15]
First-principles (PBE-GGA) data for crystalline La3Pr4Ge4 at its relaxed geometry, as listed in the Alexandria database.

Cell: 4.0702 8.9379 10.1078 Å, 116.24 101.62 90.00°
Element x y z (fractional)
La 0.0929 0.0929 0.1858
La 0.9071 0.9071 0.8142
La 0.0000 0.5000 0.0000
Pr 0.3283 0.1517 0.6566
Pr 0.6717 0.4951 0.3434
Pr 0.6717 0.8483 0.3434
Pr 0.3283 0.5049 0.6566
Ge 0.2733 0.7733 0.5466
Ge 0.7267 0.2267 0.4534
Ge 0.5000 0.7739 0.0000
Ge 0.5000 0.2261 0.0000

## Properties
uncorrected energy = -59.4 eV for the cell shown
crystal system = orthorhombic
size of the total moment = 0.0 μB/f.u.
SG = Immm

[16]
First-principles (PBE-GGA) data for crystalline La2Pr3Ge4 at its relaxed geometry, as listed in the Alexandria database.

Cell: 8.0269 8.3946 8.1677 Å, 90.00 90.00 112.84°
Element x y z (fractional)
La 0.5626 0.2033 0.3189
La 0.9374 0.7967 0.8189
La 0.4374 0.7967 0.6811
La 0.0626 0.2033 0.1811
Pr 0.0000 0.5000 0.5000
Pr 0.5000 0.5000 0.0000
Pr 0.7181 0.2291 0.8376
Pr 0.7819 0.7709 0.3376
Pr 0.2819 0.7709 0.1624
Pr 0.2181 0.2291 0.6624
Ge 0.8195 0.0919 0.5307
Ge 0.6805 0.9081 0.0307
Ge 0.1805 0.9081 0.4693
Ge 0.3195 0.0919 0.9693
Ge 0.8809 0.4958 0.1226
Ge 0.6191 0.5042 0.6226
Ge 0.1191 0.5042 0.8774
Ge 0.3809 0.4958 0.3774

## Properties
uncorrected energy = -100.0 eV for the cell shown
crystal system = monoclinic
size of the total moment = 0.0 μB/f.u.
SG = P2_1/c

[17]
First-principles (PBE-GGA) data for crystalline LaPr2Ge4 at its relaxed geometry, as listed in the Alexandria database.

Cell: 4.1383 4.5367 9.8358 Å, 103.33 102.14 90.00°
Element x y z (fractional)
Pr 0.8192 0.8192 0.6385
Pr 0.1808 0.1808 0.3615
Ge 0.6541 0.6541 0.3082
Ge 0.3459 0.3459 0.6918
Ge 0.0670 0.5670 0.1341
Ge 0.9330 0.4330 0.8659
La 0.5000 0.0000 0.0000

## Properties
uncorrected energy = -38.4 eV for the cell shown
crystal system = orthorhombic
size of the total moment = 0.0 μB/f.u.
SG = Immm

[18]
First-principles (PBE-GGA) data for crystalline La3Pr2Ge4 at its relaxed geometry, as listed in the Alexandria database.

Cell: 8.0494 9.0966 8.1865 Å, 90.00 90.00 121.58°
Element x y z (fractional)
La 0.0000 0.5000 0.5000
La 0.5000 0.5000 0.0000
La 0.6413 0.2044 0.8197
La 0.8587 0.7956 0.3197
La 0.3587 0.7956 0.1803
La 0.1413 0.2044 0.6803
Pr 0.5125 0.2287 0.3375
Pr 0.9875 0.7713 0.8375
Pr 0.4875 0.7713 0.6625
Pr 0.0125 0.2287 0.1625
Ge 0.7725 0.0893 0.4684
Ge 0.7275 0.9107 0.9684
Ge 0.2275 0.9107 0.5316
Ge 0.2725 0.0893 0.0316
Ge 0.8865 0.5033 0.1212
Ge 0.6135 0.4967 0.6212
Ge 0.1135 0.4967 0.8788
Ge 0.3865 0.5033 0.3788

## Properties
uncorrected energy = -100.3 eV for the cell shown
crystal system = monoclinic
size of the total moment = 0.0 μB/f.u.
SG = P2_1/c

[19]
First-principles (PBE-GGA) data for crystalline La3PrGe4 at its relaxed geometry, as listed in the Alexandria database.

Cell: 4.2123 6.6558 9.2774 Å, 111.02 103.12 90.00°
Element x y z (fractional)
La 0.0000 0.5000 0.0000
La 0.1976 0.1975 0.3952
La 0.8024 0.8025 0.6048
Pr 0.5000 0.0000 0.0000
Ge 0.3702 0.5586 0.7404
Ge 0.6298 0.4414 0.2596
Ge 0.6297 0.8179 0.2594
Ge 0.3703 0.1821 0.7406

## Properties
uncorrected energy = -43.5 eV for the cell shown
crystal system = orthorhombic
size of the total moment = 0.0 μB/f.u.
SG = Immm

[20]
First-principles (PBE-GGA) data for crystalline La2PrGe at its relaxed geometry, as listed in the Alexandria database.

Cell: 6.4836 8.0513 9.7534 Å, 90.00 90.00 90.00°
Element x y z (fractional)
La 0.1203 0.6830 0.0514
La 0.3797 0.1830 0.4486
La 0.8797 0.3170 0.5514
La 0.6203 0.8170 0.9486
La 0.8797 0.3170 0.9486
La 0.6203 0.8170 0.5514
La 0.1203 0.6830 0.4486
La 0.3797 0.1830 0.0514
Pr 0.6282 0.5263 0.2500
Pr 0.8718 0.0263 0.2500
Pr 0.3718 0.4737 0.7500
Pr 0.1282 0.9737 0.7500
Ge 0.0805 0.3768 0.2500
Ge 0.4195 0.8768 0.2500
Ge 0.9195 0.6232 0.7500
Ge 0.5805 0.1232 0.7500

## Properties
uncorrected energy = -84.5 eV for the cell shown
crystal system = orthorhombic
size of the total moment = 0.0 μB/f.u.
polymorph energy (0 for the lowest one) = 0.000 eV per atom
SG = Pnma

[21]
First-principles (PBE-GGA) data for crystalline La2Pr2Ge3 at its relaxed geometry, as listed in the Alexandria database.

Cell: 4.3657 7.5875 7.7522 Å, 102.12 89.99 106.75°
Element x y z (fractional)
La 0.6265 0.2528 0.8847
La 0.3735 0.7472 0.1153
Pr 0.8609 0.7209 0.6447
Pr 0.1391 0.2791 0.3553
Ge 0.0000 0.0000 0.0000
Ge 0.7601 0.5207 0.2595
Ge 0.2399 0.4793 0.7405

## Properties
uncorrected energy = -37.5 eV for the cell shown
crystal system = monoclinic
size of the total moment = 0.1 μB/f.u.
SG = C2/m

[22]
First-principles (PBE-GGA) data for crystalline LaPr3Ge2 at its relaxed geometry, as listed in the Alexandria database.

Cell: 4.5625 4.5627 8.4724 Å, 90.00 90.00 90.00°
Element x y z (fractional)
La 0.5000 0.5000 0.0000
Pr 0.5000 0.0000 0.3613
Pr 0.0000 0.5000 0.6387
Pr 0.0000 0.0000 0.0000
Ge 0.5000 0.0000 0.7242
Ge 0.0000 0.5000 0.2758

## Properties
uncorrected energy = -31.8 eV for the cell shown
crystal system = tetragonal
size of the total moment = 0.3 μB/f.u.
polymorph energy (0 for the lowest one) = 0.013 eV per atom
SG = P-4m2

[23]
First-principles (PBE-GGA) data for crystalline LaPrGe3 at its relaxed geometry, as listed in the Alexandria database.

Cell: 4.1797 4.4377 13.6399 Å, 99.36 90.00 90.00°
Element x y z (fractional)
La 0.2500 0.0709 0.1418
La 0.7500 0.9291 0.8582
Pr 0.2500 0.7977 0.5954
Pr 0.7500 0.2023 0.4046
Ge 0.2500 0.3787 0.7575
Ge 0.7500 0.6213 0.2425
Ge 0.2500 0.4733 0.9467
Ge 0.7500 0.5267 0.0533
Ge 0.7500 0.3175 0.6351
Ge 0.2500 0.6825 0.3649

## Properties
uncorrected energy = -54.5 eV for the cell shown
crystal system = orthorhombic
size of the total moment = 0.0 μB/f.u.
SG = Cmcm